[1]
# Ti2RePb, relaxed, DFT PBE
# Energy of formation from the pure elements = -135 meV/atom
data_Ti2RePb
_chemical_formula_sum 'Ti2 Re1 Pb1'
_cell_length_a 3.148
_cell_length_b 3.148
_cell_length_c 7.582
_cell_angle_alpha 90.00
_cell_angle_beta 90.00
_cell_angle_gamma 90.00
_space_group_name_H-M_alt 'P 1'
_space_group_IT_number 1
_space_group_name_Hall 'P 1'
loop_
_atom_site_label
_atom_site_type_symbol
_atom_site_fract_x
_atom_site_fract_y
_atom_site_fract_z
_atom_site_occupancy
Ti1 Ti 0.000 0.000 0.805 1
Ti2 Ti 0.000 0.000 0.195 1
Pb1 Pb 0.500 0.500 0.500 1
Re1 Re 0.500 0.500 0.000 1


[2]
# TbYPd2, relaxed, DFT PBE
# Energy of formation from the pure elements = -724 meV/atom
data_TbYPd2
_chemical_formula_sum 'Tb1 Y1 Pd2'
_cell_length_a 4.108
_cell_length_b 4.108
_cell_length_c 7.054
_cell_angle_alpha 73.07
_cell_angle_beta 73.07
_cell_angle_gamma 60.00
_space_group_name_H-M_alt 'P 1'
_space_group_IT_number 1
_space_group_name_Hall 'P 1'
loop_
_atom_site_label
_atom_site_type_symbol
_atom_site_fract_x
_atom_site_fract_y
_atom_site_fract_z
_atom_site_occupancy
Tb1 Tb 0.500 0.500 0.500 1
Y1 Y 0.000 0.000 0.000 1
Pd1 Pd 0.249 0.249 0.252 1
Pd2 Pd 0.751 0.751 0.748 1


[3]
# PmHgBO4, relaxed, DFT PBE
# Energy relative to the elements, uncorrected = -1.982 eV/atom
data_PmHgBO4
_chemical_formula_sum 'Pm2 Hg2 B2 O8'
_cell_length_a 8.345
_cell_length_b 7.175
_cell_length_c 7.175
_cell_angle_alpha 62.36
_cell_angle_beta 54.44
_cell_angle_gamma 54.44
_space_group_name_H-M_alt 'P 1'
_space_group_IT_number 1
_space_group_name_Hall 'P 1'
loop_
_atom_site_label
_atom_site_type_symbol
_atom_site_fract_x
_atom_site_fract_y
_atom_site_fract_z
_atom_site_occupancy
Pm1 Pm 0.000 0.000 0.000 1
O1 O 0.791 0.788 0.288 1
O2 O 0.739 0.681 0.841 1
O3 O 0.132 0.788 0.288 1
Hg1 Hg 0.000 0.000 0.500 1
O4 O 0.209 0.212 0.712 1
Hg2 Hg 0.500 0.000 0.500 1
O5 O 0.261 0.319 0.159 1
Pm2 Pm 0.000 0.500 0.500 1
B1 B 0.274 0.476 0.976 1
O6 O 0.261 0.659 0.819 1
O7 O 0.868 0.212 0.712 1
O8 O 0.739 0.341 0.181 1
B2 B 0.726 0.524 0.024 1


[4]
# PaTaN3, relaxed, DFT PBE
# Energy relative to the elements, uncorrected = -1.290 eV/atom
data_PaTaN3
_chemical_formula_sum 'Pa2 Ta2 N6'
_cell_length_a 3.635
_cell_length_b 5.923
_cell_length_c 6.782
_cell_angle_alpha 90.00
_cell_angle_beta 105.55
_cell_angle_gamma 90.00
_space_group_name_H-M_alt 'P 1'
_space_group_IT_number 1
_space_group_name_Hall 'P 1'
loop_
_atom_site_label
_atom_site_type_symbol
_atom_site_fract_x
_atom_site_fract_y
_atom_site_fract_z
_atom_site_occupancy
Pa1 Pa 0.678 0.250 0.355 1
N1 N 0.499 0.250 0.998 1
N2 N 0.835 0.497 0.670 1
N3 N 0.835 0.003 0.670 1
Pa2 Pa 0.322 0.750 0.645 1
Ta1 Ta 0.935 0.250 0.870 1
N4 N 0.165 0.997 0.330 1
N5 N 0.165 0.503 0.330 1
Ta2 Ta 0.065 0.750 0.130 1
N6 N 0.501 0.750 0.002 1


[5]
# AgPbOF2, relaxed, DFT PBE
# Energy relative to the elements, uncorrected = -1.111 eV/atom
data_AgPbOF2
_chemical_formula_sum 'Ag1 Pb1 O1 F2'
_cell_length_a 4.588
_cell_length_b 4.588
_cell_length_c 4.286
_cell_angle_alpha 90.00
_cell_angle_beta 90.00
_cell_angle_gamma 90.00
_space_group_name_H-M_alt 'P 1'
_space_group_IT_number 1
_space_group_name_Hall 'P 1'
loop_
_atom_site_label
_atom_site_type_symbol
_atom_site_fract_x
_atom_site_fract_y
_atom_site_fract_z
_atom_site_occupancy
Pb1 Pb 0.000 0.000 0.000 1
F1 F 0.000 0.500 0.000 1
O1 O 0.000 0.000 0.500 1
Ag1 Ag 0.500 0.500 0.500 1
F2 F 0.500 0.000 0.000 1


[6]
# Ac2AgP, relaxed, DFT PBE
# Energy of formation from the pure elements = -533 meV/atom
data_Ac2AgP
_chemical_formula_sum 'Ac2 Ag1 P1'
_cell_length_a 5.446
_cell_length_b 5.446
_cell_length_c 5.446
_cell_angle_alpha 60.00
_cell_angle_beta 60.00
_cell_angle_gamma 60.00
_space_group_name_H-M_alt 'P 1'
_space_group_IT_number 1
_space_group_name_Hall 'P 1'
loop_
_atom_site_label
_atom_site_type_symbol
_atom_site_fract_x
_atom_site_fract_y
_atom_site_fract_z
_atom_site_occupancy
P1 P 0.000 0.000 0.000 1
Ac1 Ac 0.250 0.250 0.250 1
Ac2 Ac 0.750 0.750 0.750 1
Ag1 Ag 0.500 0.500 0.500 1


[7]
# PaMnAgS4, relaxed, DFT PBE
# Energy relative to the elements, uncorrected = -0.961 eV/atom
data_PaMnAgS4
_chemical_formula_sum 'Pa2 Mn2 Ag2 S8'
_cell_length_a 8.177
_cell_length_b 7.590
_cell_length_c 7.564
_cell_angle_alpha 119.88
_cell_angle_beta 90.00
_cell_angle_gamma 122.59
_space_group_name_H-M_alt 'P 1'
_space_group_IT_number 1
_space_group_name_Hall 'P 1'
loop_
_atom_site_label
_atom_site_type_symbol
_atom_site_fract_x
_atom_site_fract_y
_atom_site_fract_z
_atom_site_occupancy
S1 S 0.248 0.495 0.729 1
Pa1 Pa 0.500 0.500 0.500 1
Ag1 Ag 0.081 0.162 0.831 1
S2 S 0.752 0.505 0.271 1
Mn1 Mn 0.500 0.000 0.500 1
S3 S 0.248 0.495 0.266 1
S4 S 0.711 0.005 0.753 1
S5 S 0.294 0.005 0.753 1
Pa2 Pa 0.000 0.500 0.500 1
Ag2 Ag 0.919 0.838 0.169 1
S6 S 0.289 0.995 0.247 1
Mn2 Mn 0.500 0.000 0.000 1
S7 S 0.706 0.995 0.247 1
S8 S 0.752 0.505 0.734 1


[8]
# La3Cd3Ag, relaxed, DFT PBE
# Energy of formation from the pure elements = -306 meV/atom
data_La3Cd3Ag
_chemical_formula_sum 'La3 Cd3 Ag1'
_cell_length_a 5.064
_cell_length_b 3.593
_cell_length_c 11.299
_cell_angle_alpha 99.15
_cell_angle_beta 102.95
_cell_angle_gamma 90.00
_space_group_name_H-M_alt 'P 1'
_space_group_IT_number 1
_space_group_name_Hall 'P 1'
loop_
_atom_site_label
_atom_site_type_symbol
_atom_site_fract_x
_atom_site_fract_y
_atom_site_fract_z
_atom_site_occupancy
La1 La 0.697 0.197 0.394 1
La2 La 0.307 0.807 0.613 1
Cd1 Cd 0.861 0.361 0.723 1
Ag1 Ag 0.433 0.433 0.866 1
La3 La 0.997 0.997 0.994 1
Cd2 Cd 0.140 0.640 0.279 1
Cd3 Cd 0.565 0.565 0.131 1


[9]
# TiFeTeN2, relaxed, DFT PBE
# Energy relative to the elements, uncorrected = 0.767 eV/atom
data_TiFeTeN2
_chemical_formula_sum 'Ti1 Fe1 Te1 N2'
_cell_length_a 3.762
_cell_length_b 3.762
_cell_length_c 5.254
_cell_angle_alpha 90.00
_cell_angle_beta 90.00
_cell_angle_gamma 90.00
_space_group_name_H-M_alt 'P 1'
_space_group_IT_number 1
_space_group_name_Hall 'P 1'
loop_
_atom_site_label
_atom_site_type_symbol
_atom_site_fract_x
_atom_site_fract_y
_atom_site_fract_z
_atom_site_occupancy
Ti1 Ti 0.500 0.500 0.500 1
Te1 Te 0.000 0.000 0.500 1
N1 N 0.500 0.000 0.000 1
N2 N 0.000 0.500 0.000 1
Fe1 Fe 0.000 0.000 0.000 1


[10]
# Ta2CrAg, relaxed, DFT PBE
# Energy of formation from the pure elements = 213 meV/atom
data_Ta2CrAg
_chemical_formula_sum 'Ta2 Cr1 Ag1'
_cell_length_a 3.084
_cell_length_b 3.084
_cell_length_c 6.982
_cell_angle_alpha 90.00
_cell_angle_beta 90.00
_cell_angle_gamma 90.00
_space_group_name_H-M_alt 'P 1'
_space_group_IT_number 1
_space_group_name_Hall 'P 1'
loop_
_atom_site_label
_atom_site_type_symbol
_atom_site_fract_x
_atom_site_fract_y
_atom_site_fract_z
_atom_site_occupancy
Cr1 Cr 0.500 0.500 0.750 1
Ta1 Ta 0.000 0.000 0.537 1
Ta2 Ta 0.000 0.000 0.963 1
Ag1 Ag 0.500 0.500 0.250 1


[11]
# Sc2TlSb, relaxed, DFT PBE
# Energy relative to the elements, uncorrected = -0.383 eV/atom
data_Sc2TlSb
_chemical_formula_sum 'Sc2 Tl1 Sb1'
_cell_length_a 5.115
_cell_length_b 5.115
_cell_length_c 5.115
_cell_angle_alpha 60.00
_cell_angle_beta 60.00
_cell_angle_gamma 60.00
_space_group_name_H-M_alt 'P 1'
_space_group_IT_number 1
_space_group_name_Hall 'P 1'
loop_
_atom_site_label
_atom_site_type_symbol
_atom_site_fract_x
_atom_site_fract_y
_atom_site_fract_z
_atom_site_occupancy
Sb1 Sb 0.000 0.000 0.000 1
Tl1 Tl 0.500 0.500 0.500 1
Sc1 Sc 0.750 0.750 0.750 1
Sc2 Sc 0.250 0.250 0.250 1


[12]
# Be3AuN, relaxed, DFT PBE
# Energy relative to the elements, uncorrected = -0.170 eV/atom
data_Be3AuN
_chemical_formula_sum 'Be3 Au1 N1'
_cell_length_a 3.642
_cell_length_b 3.642
_cell_length_c 3.642
_cell_angle_alpha 90.00
_cell_angle_beta 90.00
_cell_angle_gamma 90.00
_space_group_name_H-M_alt 'P 1'
_space_group_IT_number 1
_space_group_name_Hall 'P 1'
loop_
_atom_site_label
_atom_site_type_symbol
_atom_site_fract_x
_atom_site_fract_y
_atom_site_fract_z
_atom_site_occupancy
Au1 Au 0.500 0.500 0.500 1
Be1 Be 0.000 0.000 0.500 1
N1 N 0.000 0.000 0.000 1
Be2 Be 0.000 0.500 0.000 1
Be3 Be 0.500 0.000 0.000 1


Values for density, g/cm3, ordered as above
10.8, 7.9, 5.0, 10.7, 6.8, 8.6, 5.4, 7.2, 5.8, 13.0, 7.3, 8.2